Record 1
Compound: Cd4C3
Source: Alexandria
Functional: PBE-GGA
Structure: relaxed

Unit cell a=11.110 b=11.110 c=11.110 alpha=163.34 beta=163.34 gamma=23.65
Atoms (fractional coordinates):
Cd (0.809, 0.809, 0.000)
Cd (0.191, 0.191, 0.000)
Cd (0.566, 0.566, 0.000)
Cd (0.434, 0.434, 0.000)
C (0.000, 0.000, 0.000)
C (0.670, 0.670, 0.000)
C (0.330, 0.330, 0.000)

Energy relative to the elements   1638 meV per atom
Space group   No. 139
Theoretical density   7.15 g cm⁻³
Energy relative to the lowest polymorph listed for this composition   0.021 eV per atom
DOS(E_F)   4.15 states/eV per cell
E_tot   -0.10430 hartree per atom


Record 2
Compound: LiZr2Al
Source: Alexandria
Functional: PBE-GGA
Structure: relaxed

Unit cell a=3.037 b=5.148 c=6.239 alpha=55.21 beta=90.00 gamma=90.00
Atoms (fractional coordinates):
Al (0.500, 0.500, 0.500)
Li (0.000, 0.000, 0.500)
Zr (0.000, 0.000, 0.000)
Zr (0.500, 0.500, 0.000)

Energy relative to the elements   -6 meV per atom
Space group   No. 10
Theoretical density   4.48 g cm⁻³
DOS(E_F)   2.10 states/eV per cell
E_tot   -0.20927 hartree per atom


Record 3
Compound: Rb2ZnMoPb
Source: Alexandria
Functional: PBE-GGA
Structure: relaxed

Unit cell a=7.192 b=5.241 c=7.192 alpha=90.00 beta=90.00 gamma=90.00
Atoms (fractional coordinates):
Pb (0.000, 0.000, 0.000)
Mo (0.500, 0.500, 0.500)
Zn (0.000, 0.500, 0.000)
Rb (0.000, 0.000, 0.500)
Rb (0.500, 0.000, 0.000)

Energy relative to the elements   1178 meV per atom
Space group   No. 123
Theoretical density   3.30 g cm⁻³
DOS(E_F)   2.94 states/eV per cell
E_tot   -0.08716 hartree per atom


Record 4
Compound: LaEr2Th3P6
Source: Alexandria
Functional: PBE-GGA
Structure: relaxed

Unit cell a=7.131 b=7.131 c=7.085 alpha=99.69 beta=99.69 gamma=119.93
Atoms (fractional coordinates):
La (0.000, 0.000, 0.000)
Er (0.333, 0.667, 0.000)
Er (0.667, 0.333, 0.000)
Th (0.165, 0.835, 0.500)
Th (0.835, 0.165, 0.500)
Th (0.500, 0.500, 0.500)
P (0.918, 0.575, 0.753)
P (0.739, 0.739, 0.245)
P (0.082, 0.425, 0.247)
P (0.575, 0.918, 0.753)
P (0.261, 0.261, 0.755)
P (0.425, 0.082, 0.247)

Energy relative to the elements   -1568 meV per atom
Space group   No. 12
Theoretical density   7.65 g cm⁻³
DOS(E_F)   4.82 states/eV per cell
E_tot   -0.26823 hartree per atom


Record 5
Compound: CrSi2Tc2
Source: Alexandria
Functional: PBE-GGA
Structure: relaxed

Unit cell a=6.927 b=6.927 c=2.986 alpha=90.00 beta=90.00 gamma=90.00
Atoms (fractional coordinates):
Cr (0.000, 0.000, 0.000)
Cr (0.500, 0.500, 0.000)
Si (0.153, 0.653, 0.500)
Si (0.653, 0.847, 0.500)
Si (0.847, 0.347, 0.500)
Si (0.347, 0.153, 0.500)
Tc (0.358, 0.858, 0.000)
Tc (0.858, 0.642, 0.000)
Tc (0.642, 0.142, 0.000)
Tc (0.142, 0.358, 0.000)

Space group   No. 127
Theoretical density   7.05 g cm⁻³
Formation energy from raw total energies   -0.05 eV/atom
Energy relative to the lowest polymorph listed for this composition   0.121 eV per atom
DOS(E_F)   8.03 states/eV per cell
E_tot   -0.30480 hartree per atom


Record 6
Compound: ScCrOsN2
Source: Alexandria
Functional: PBE-GGA
Structure: relaxed

Unit cell a=3.847 b=5.503 c=3.847 alpha=90.00 beta=90.00 gamma=90.00
Atoms (fractional coordinates):
Sc (0.000, 0.500, 0.000)
Cr (0.500, 0.500, 0.500)
Os (0.000, 0.000, 0.000)
N (0.000, 0.000, 0.500)
N (0.500, 0.000, 0.000)

Space group   No. 123
Theoretical density   6.43 g cm⁻³
Formation energy from raw total energies   0.98 eV/atom
DOS(E_F)   3.90 states/eV per cell
E_tot   -0.28624 hartree per atom


Record 7
Compound: Cs2PaI8
Source: Alexandria
Functional: PBE-GGA
Structure: relaxed

Unit cell a=6.869 b=10.405 c=10.405 alpha=77.66 beta=79.75 gamma=79.75
Atoms (fractional coordinates):
Cs (0.107, 0.291, 0.291)
Cs (0.893, 0.709, 0.709)
I (0.796, 0.086, 0.763)
I (0.204, 0.237, 0.914)
I (0.678, 0.158, 0.158)
I (0.322, 0.842, 0.842)
I (0.796, 0.763, 0.086)
I (0.204, 0.914, 0.237)
I (0.256, 0.499, 0.499)
I (0.744, 0.501, 0.501)
Pa (0.000, 0.000, 0.000)

Space group   No. 12
Theoretical density   3.55 g cm⁻³
Formation energy from raw total energies   -1.06 eV/atom
DOS(E_F)   1.30 states/eV per cell
E_tot   -0.11763 hartree per atom


Record 8
Compound: Ni8GeRh2
Source: Alexandria
Functional: PBE-GGA
Structure: relaxed

Unit cell a=3.627 b=5.740 c=6.722 alpha=105.52 beta=105.65 gamma=90.00
Atoms (fractional coordinates):
Ni (0.588, 0.449, 0.175)
Ni (0.320, 0.089, 0.640)
Ni (0.133, 0.176, 0.267)
Ni (0.044, 0.724, 0.088)
Ni (0.867, 0.824, 0.733)
Ni (0.680, 0.911, 0.360)
Ni (0.412, 0.551, 0.825)
Ni (0.956, 0.276, 0.912)
Ge (0.500, 0.000, 0.000)
Rh (0.224, 0.640, 0.448)
Rh (0.776, 0.360, 0.552)

Energy relative to the elements   -68 meV per atom
Space group   No. 12
Theoretical density   9.59 g cm⁻³
DOS(E_F)   18.00 states/eV per cell
E_tot   -0.22157 hartree per atom


Record 9
Compound: CsCdI3
Source: Alexandria
Functional: PBE-GGA
Structure: relaxed

Unit cell a=6.134 b=9.232 c=9.245 alpha=77.71 beta=89.66 gamma=89.64
Atoms (fractional coordinates):
Cs (0.985, 0.155, 0.593)
Cs (0.500, 0.749, 0.189)
Cd (0.742, 0.622, 0.722)
Cd (0.742, 0.282, 0.061)
I (0.501, 0.347, 0.785)
I (0.983, 0.558, 0.997)
I (0.496, 0.286, 0.313)
I (0.496, 0.875, 0.727)
I (0.988, 0.029, 0.055)
I (0.989, 0.618, 0.469)

Space group   No. 2
Theoretical density   4.06 g cm⁻³
Formation energy from raw total energies   -0.99 eV/atom
DOS(E_F)   0.00 states/eV per cell
E_tot   -0.08373 hartree per atom


Record 10
Compound: TbCePrTm3
Source: Alexandria
Functional: PBE-GGA
Structure: relaxed

Unit cell a=5.801 b=6.375 c=11.607 alpha=90.00 beta=90.00 gamma=117.06
Atoms (fractional coordinates):
Tb (0.824, 0.648, 0.750)
Tb (0.176, 0.352, 0.250)
Ce (0.503, 0.006, 0.750)
Ce (0.497, 0.994, 0.250)
Pr (0.000, 0.000, 0.500)
Pr (0.000, 0.000, 0.000)
Tm (0.671, 0.342, 0.497)
Tm (0.329, 0.658, 0.503)
Tm (0.329, 0.658, 0.997)
Tm (0.671, 0.342, 0.003)
Tm (0.171, 0.343, 0.750)
Tm (0.829, 0.657, 0.250)

Energy relative to the elements   146 meV per atom
Space group   No. 63
Theoretical density   8.23 g cm⁻³
DOS(E_F)   29.09 states/eV per cell
E_tot   -0.17076 hartree per atom


Q: theoretical density of number 6 (ScCrOsN2)?
A: 6.43 g cm⁻³


Copy entry 9 word for word.
Compound: CsCdI3
Source: Alexandria
Functional: PBE-GGA
Structure: relaxed

Unit cell a=6.134 b=9.232 c=9.245 alpha=77.71 beta=89.66 gamma=89.64
Atoms (fractional coordinates):
Cs (0.985, 0.155, 0.593)
Cs (0.500, 0.749, 0.189)
Cd (0.742, 0.622, 0.722)
Cd (0.742, 0.282, 0.061)
I (0.501, 0.347, 0.785)
I (0.983, 0.558, 0.997)
I (0.496, 0.286, 0.313)
I (0.496, 0.875, 0.727)
I (0.988, 0.029, 0.055)
I (0.989, 0.618, 0.469)

Space group   No. 2
Theoretical density   4.06 g cm⁻³
Formation energy from raw total energies   -0.99 eV/atom
DOS(E_F)   0.00 states/eV per cell
E_tot   -0.08373 hartree per atom


Q: Among the records above, which one has the highest theoretical density?
A: Ni8GeRh2